Record 1
DFT (PBE) results for a geometry-optimized SmPuTlO6 structure.

```
data_SmPuTlO6
_space_group_name_H-M_alt 'P 1'
_space_group_IT_number 1
_space_group_name_Hall 'P 1'
_cell_length_a 5.6556
_cell_length_b 5.6556
_cell_length_c 10.0655
_cell_angle_alpha 90.00
_cell_angle_beta 90.00
_cell_angle_gamma 120.00
loop_
_atom_site_label
_atom_site_type_symbol
_atom_site_fract_x
_atom_site_fract_y
_atom_site_fract_z
_atom_site_occupancy
Sm1 Sm 0.0000 0.0000 0.0000 1
Sm2 Sm 0.0000 0.0000 0.5000 1
Pu1 Pu 0.3333 0.6667 0.2500 1
Pu2 Pu 0.6667 0.3333 0.7500 1
Tl1 Tl 0.3333 0.6667 0.7500 1
Tl2 Tl 0.6667 0.3333 0.2500 1
O1 O 0.0303 0.3600 0.1336 1
O2 O 0.0303 0.6703 0.3664 1
O3 O 0.3297 0.3600 0.3664 1
O4 O 0.3297 0.9697 0.1336 1
O5 O 0.3600 0.0303 0.6336 1
O6 O 0.3600 0.3297 0.8664 1
O7 O 0.6400 0.6703 0.1336 1
O8 O 0.6400 0.9697 0.3664 1
O9 O 0.6703 0.0303 0.8664 1
O10 O 0.6703 0.6400 0.6336 1
O11 O 0.9697 0.3297 0.6336 1
O12 O 0.9697 0.6400 0.8664 1
```

Properties
E_form (uncorrected): -2194 meV/atom
Symmetry: P-31c, No. 163


Record 2
DFT (PBE) results for a geometry-optimized Sm2PuTlO8 structure.

```
data_Sm2PuTlO8
_space_group_name_H-M_alt 'P 1'
_space_group_IT_number 1
_space_group_name_Hall 'P 1'
_cell_length_a 4.6711
_cell_length_b 5.2012
_cell_length_c 7.4895
_cell_angle_alpha 91.40
_cell_angle_beta 91.42
_cell_angle_gamma 94.36
loop_
_atom_site_label
_atom_site_type_symbol
_atom_site_fract_x
_atom_site_fract_y
_atom_site_fract_z
_atom_site_occupancy
Sm1 Sm 0.0508 0.0263 0.2525 1
Sm2 Sm 0.9492 0.9737 0.7475 1
Pu1 Pu 0.5000 0.5000 0.5000 1
Tl1 Tl 0.5000 0.5000 0.0000 1
O1 O 0.1617 0.2491 0.5238 1
O2 O 0.1786 0.2150 0.9855 1
O3 O 0.3171 0.6699 0.2914 1
O4 O 0.3858 0.7537 0.6991 1
O5 O 0.6142 0.2463 0.3009 1
O6 O 0.6829 0.3301 0.7086 1
O7 O 0.8214 0.7850 0.0145 1
O8 O 0.8383 0.7509 0.4762 1
```

Properties
E_form (uncorrected): -2423 meV/atom
Symmetry: P-1, No. 2


Record 3
DFT (PBE) results for a geometry-optimized SmPu3Tl2O12 structure.

```
data_SmPu3Tl2O12
_space_group_name_H-M_alt 'P 1'
_space_group_IT_number 1
_space_group_name_Hall 'P 1'
_cell_length_a 7.0412
_cell_length_b 7.0412
_cell_length_c 7.0412
_cell_angle_alpha 70.97
_cell_angle_beta 70.97
_cell_angle_gamma 70.97
loop_
_atom_site_label
_atom_site_type_symbol
_atom_site_fract_x
_atom_site_fract_y
_atom_site_fract_z
_atom_site_occupancy
Sm1 Sm 0.0000 0.0000 0.0000 1
Pu1 Pu 0.0000 0.0000 0.5000 1
Pu2 Pu 0.0000 0.5000 0.0000 1
Pu3 Pu 0.5000 0.0000 0.0000 1
Tl1 Tl 0.3906 0.3906 0.3906 1
Tl2 Tl 0.6094 0.6094 0.6094 1
O1 O 0.0922 0.7543 0.7543 1
O2 O 0.1408 0.1408 0.5714 1
O3 O 0.1408 0.5714 0.1408 1
O4 O 0.2457 0.2457 0.9078 1
O5 O 0.2457 0.9078 0.2457 1
O6 O 0.4286 0.8592 0.8592 1
O7 O 0.5714 0.1408 0.1408 1
O8 O 0.7543 0.0922 0.7543 1
O9 O 0.7543 0.7543 0.0922 1
O10 O 0.8592 0.4286 0.8592 1
O11 O 0.8592 0.8592 0.4286 1
O12 O 0.9078 0.2457 0.2457 1
```

Properties
E_form (uncorrected): -2292 meV/atom
Symmetry: R-3m, No. 166